An optimized crystal structure of NaTa2Al. Source: Alexandria via LeMat-Bulk, functional PBE.

Values from the calculation:
Total energy: -6.255 eV per atom
Calculated density: 8.515 g cm⁻³
E_form: 3.7 eV per formula unit
V: 20.08 Å³/atom

Unit cell a=3.9403 b=3.9403 c=20.6935 alpha=90.00 beta=90.00 gamma=90.00
Last column: nearest neighbours and their distance in Å.
Space group I-42d (No. 122)
Asymmetric unit:
Na 0.0000 0.0000 0.0000 (multiplicity 4)  4 Al 2.79, 4 Ta 2.96
Ta 0.2360 0.7500 0.6250 (multiplicity 8)  4 Ta 2.71-2.87, 2 Al 2.92, 2 Na 2.96
Al 0.0000 0.0000 0.5000 (multiplicity 4)  4 Na 2.79, 4 Ta 2.92